## Sr2NiPbO5 (PBE+U)

Data for an optimized crystal structure of Sr2NiPbO5.

Summary:
Energy ... -5.59 eV/atom

The structure in CIF format:
```
data_Sr2NiPbO5
_cell_length_a 3.498
_cell_length_b 13.902
_cell_length_c 11.064
_cell_angle_alpha 90.00
_cell_angle_beta 90.00
_cell_angle_gamma 90.00
_space_group_name_H-M_alt 'C m c 21'
_space_group_IT_number 36
_space_group_name_Hall 'C 2c -2'
loop_
_atom_site_label
_atom_site_fract_x
_atom_site_fract_y
_atom_site_fract_z
Sr1 0.000 0.090 0.000
Sr2 0.000 0.135 0.640
Ni1 0.000 0.461 0.769
Pb1 0.000 0.213 0.351
O1 0.000 0.053 0.352
O2 0.000 0.277 0.988
O3 0.000 0.313 0.723
O4 0.000 0.367 0.324
O5 0.000 0.492 0.103
```